Entry 1:
Crystalline Na3Tm3SnSe8 at its relaxed geometry, computed with PBE.

Results
Raw formation energy in meV/atom: -1408
M_tot in μB per cell: 0.00

Cell and atoms, written as CIF:
```
data_Na3Tm3SnSe8
_symmetry_space_group_name_H-M 'R -3 m'
_symmetry_Int_Tables_number 166
_symmetry_space_group_name_Hall '-R 3 2"'
_cell_length_a 8.1112
_cell_length_b 8.1112
_cell_length_c 21.2965
_cell_angle_alpha 90.00
_cell_angle_beta 90.00
_cell_angle_gamma 120.00
loop_
_atom_site_label
_atom_site_type_symbol
_atom_site_fract_x
_atom_site_fract_y
_atom_site_fract_z
Na1 Na 0.0000 0.5000 0.0000
Tm1 Tm 0.0000 0.5000 0.5000
Sn1 Sn 0.0000 0.0000 0.5000
Se1 Se 0.0000 0.0000 0.2415
Se2 Se 0.0090 0.5045 0.2409
```

---

Entry 2:
Crystalline Rb3YTl at its relaxed geometry, computed with PBE.

Results
Energy of formation from the pure elements in eV/atom: 0.91
M_tot in μB per cell: 3.51
Distance to the lowest polymorph of the same formula in meV/atom: 241

Cell and atoms, written as CIF:
```
data_Rb3YTl
_symmetry_space_group_name_H-M 'P m -3 m'
_symmetry_Int_Tables_number 221
_symmetry_space_group_name_Hall '-P 4 2 3'
_cell_length_a 7.334
_cell_length_b 7.334
_cell_length_c 7.334
_cell_angle_alpha 90.00
_cell_angle_beta 90.00
_cell_angle_gamma 90.00
loop_
_atom_site_label
_atom_site_type_symbol
_atom_site_fract_x
_atom_site_fract_y
_atom_site_fract_z
Rb1 Rb 0.000 0.000 0.500
Y1 Y 0.000 0.000 0.000
Tl1 Tl 0.500 0.500 0.500
```

---

Entry 3:
Crystalline Na2ErGaBr6 at its relaxed geometry, computed with PBE.

Results
Raw formation energy in meV/atom: -1478
M_tot in μB per cell: 0.00

Cell and atoms, written as CIF:
```
data_Na2ErGaBr6
_symmetry_space_group_name_H-M 'R 3'
_symmetry_Int_Tables_number 146
_symmetry_space_group_name_Hall 'R 3'
_cell_length_a 7.4799
_cell_length_b 7.4799
_cell_length_c 20.3943
_cell_angle_alpha 90.00
_cell_angle_beta 90.00
_cell_angle_gamma 120.00
loop_
_atom_site_label
_atom_site_type_symbol
_atom_site_fract_x
_atom_site_fract_y
_atom_site_fract_z
Na1 Na 0.0000 0.0000 0.0000
Na2 Na 0.0000 0.0000 0.4881
Er1 Er 0.0000 0.0000 0.6826
Ga1 Ga 0.0000 0.0000 0.1949
Br1 Br 0.0098 0.3625 0.4219
Br2 Br 0.0105 0.7119 0.5962
```

---

Entry 4:
Crystalline Nd2Dy3Pb at its relaxed geometry, computed with PBE.

Results
Energy of formation from the pure elements in eV/atom: -0.17
M_tot in μB per cell: 0.00

Cell and atoms, written as CIF:
```
data_Nd2Dy3Pb
_symmetry_space_group_name_H-M 'C m m m'
_symmetry_Int_Tables_number 65
_symmetry_space_group_name_Hall '-C 2 2'
_cell_length_a 4.905
_cell_length_b 15.399
_cell_length_c 4.957
_cell_angle_alpha 90.00
_cell_angle_beta 90.00
_cell_angle_gamma 90.00
loop_
_atom_site_label
_atom_site_type_symbol
_atom_site_fract_x
_atom_site_fract_y
_atom_site_fract_z
Nd1 Nd 0.000 0.162 0.000
Dy1 Dy 0.000 0.000 0.500
Dy2 Dy 0.000 0.334 0.500
Pb1 Pb 0.000 0.500 0.000
```

---

Number 1: DOS(E_F) 0.08 states/eV/atom. Number 2: DOS(E_F) 2.39 states/eV/atom. Number 3: DOS(E_F) 0.00 states/eV/atom. Number 4: DOS(E_F) 1.16 states/eV/atom.